No. 1
## TbSmZn (PBE)

Data for an optimized crystal structure of TbSmZn.

SG = I4mm, No. 107
total moment = 0.010 μB per formula unit
offset from the most stable computed form = 0.0 meV per atom
calculated density = 7.71 g/cm³
DFT formation energy = -0.2062 eV per atom

Cell: 3.6243 3.6243 6.6533 Å, 105.81 105.81 90.00°
With the nearest neighbours (Å) after each atom.
Fractional positions:
Zn (0.6630, 0.6630, 0.3259)  4 Tb 3.08, 4 Sm 3.16
Tb (0.0241, 0.0241, 0.0483)  4 Zn 3.08
Sm (0.3129, 0.3129, 0.6258)  4 Zn 3.16


No. 2
## YCrOs2 (PBE)

Data for an optimized crystal structure of YCrOs2.

SG = P4/mmm, No. 123
total moment = 1.590 μB per formula unit
offset from the most stable computed form = 214.1 meV per atom
calculated density = 13.03 g/cm³
DFT formation energy = 0.3578 eV per atom

Cell: 3.2150 4.5464 4.5464 Å, 90.00 90.00 90.00°
With the nearest neighbours (Å) after each atom.
Fractional positions:
Cr (0.5000, 0.0000, 0.5000)  8 Os 2.78
Os (0.0000, 0.0000, 0.0000)  4 Y 2.78, 4 Cr 2.78
Os (0.0000, 0.5000, 0.5000)  4 Cr 2.78, 4 Y 2.78
Y (0.5000, 0.5000, 0.0000)  8 Os 2.78


No. 3
## BaTeP2 (PBE)

Data for an optimized crystal structure of BaTeP2.

SG = Pm, No. 6
uncorrected formation energy = -0.521 eV/atom
total moment = 0.000 μB per formula unit
calculated density = 4.52 g/cm³

Cell: 4.2177 6.1910 5.9341 Å, 50.87 90.00 90.00°
With the nearest neighbours (Å) after each atom.
Fractional positions:
Ba (0.5000, 0.7791, 0.8822)  5 P 3.34-3.59, 4 Te 3.46-3.52
P (0.0000, 0.2639, 0.9653)  2 P 2.31, 1 Te 2.52
P (0.5000, 0.1068, 0.1627)  2 P 2.31
Te (0.0000, 0.3502, 0.4899)  1 P 2.52


No. 4
## CsGaTe (PBE)

Data for an optimized crystal structure of CsGaTe.

SG = P2/m, No. 10
uncorrected formation energy = -0.611 eV/atom
total moment = 0.000 μB per formula unit
offset from the most stable computed form = 10.2 meV per atom
calculated density = 4.27 g/cm³

Cell: 6.7477 4.2589 9.0390 Å, 90.00 98.42 90.00°
With the nearest neighbours (Å) after each atom.
Fractional positions:
Cs (0.7146, 0.5000, 0.8341)  3 Ga 3.93-4.13, 6 Te 4.00-4.01, 2 Cs 4.26
Cs (0.2854, 0.5000, 0.1659)  3 Ga 3.93-4.13, 6 Te 4.00-4.01, 2 Cs 4.26
Ga (0.1771, 0.5000, 0.5819)  1 Ga 2.62, 2 Te 2.81
Ga (0.8229, 0.5000, 0.4181)  1 Ga 2.62, 2 Te 2.81
Te (0.7949, 0.0000, 0.2132)  2 Ga 2.81
Te (0.2051, 0.0000, 0.7868)  2 Ga 2.81


No. 5
## Pm2AgHg (PBE)

Data for an optimized crystal structure of Pm2AgHg.

SG = Fm-3m, No. 225
total moment = 0.004 μB per formula unit
offset from the most stable computed form = 0.0 meV per atom
calculated density = 9.27 g/cm³
DFT formation energy = -0.3755 eV per atom

Cell: 5.3322 5.3322 5.3322 Å, 60.00 60.00 60.00°
With the nearest neighbours (Å) after each atom.
Fractional positions:
Hg (0.0000, 0.0000, 0.0000)  8 Pm 3.27
Ag (0.5000, 0.5000, 0.5000)  8 Pm 3.27
Pm (0.2500, 0.2500, 0.2500)  4 Hg 3.27, 4 Ag 3.27
Pm (0.7500, 0.7500, 0.7500)  4 Hg 3.27, 4 Ag 3.27


No. 6
## HfZr3Mo (PBE)

Data for an optimized crystal structure of HfZr3Mo.

SG = Pm-3m, No. 221
total moment = 0.000 μB per formula unit
offset from the most stable computed form = 0.0 meV per atom
calculated density = 7.18 g/cm³
DFT formation energy = 0.7409 eV per atom

Cell: 5.0225 5.0225 5.0225 Å, 90.00 90.00 90.00°
With the nearest neighbours (Å) after each atom.
Fractional positions:
Mo (0.0000, 0.0000, 0.0000)  6 Zr 2.51
Hf (0.5000, 0.5000, 0.5000)  12 Zr 3.55
Zr (0.0000, 0.5000, 0.0000)  2 Mo 2.51
Zr (0.0000, 0.0000, 0.5000)  2 Mo 2.51
Zr (0.5000, 0.0000, 0.0000)  2 Mo 2.51


No. 7
## NbGePO2 (PBE)

Data for an optimized crystal structure of NbGePO2.

SG = P4/mmm, No. 123
uncorrected formation energy = -1.142 eV/atom
total moment = 0.000 μB per formula unit
offset from the most stable computed form = 0.0 meV per atom
calculated density = 4.67 g/cm³

Cell: 3.9364 3.9364 5.2421 Å, 90.00 90.00 90.00°
With the nearest neighbours (Å) after each atom.
Fractional positions:
P (0.0000, 0.0000, 0.5000)  2 Nb 2.62, 4 Ge 2.78
Nb (0.0000, 0.0000, 0.0000)  4 O 1.97
Ge (0.5000, 0.5000, 0.5000)  4 P 2.78
O (0.0000, 0.5000, 0.0000)  2 Nb 1.97
O (0.5000, 0.0000, 0.0000)  2 Nb 1.97


No. 8
## Sr2FeH (PBE)

Data for an optimized crystal structure of Sr2FeH.

SG = Fm-3m, No. 225
total moment = 1.824 μB per formula unit
offset from the most stable computed form = 234.9 meV per atom
calculated density = 3.83 g/cm³

Cell: 5.2189 5.2189 5.2189 Å, 60.00 60.00 60.00°
With the nearest neighbours (Å) after each atom.
Fractional positions:
Sr (0.2500, 0.2500, 0.2500)  4 H 3.20, 4 Fe 3.20
Sr (0.7500, 0.7500, 0.7500)  4 Fe 3.20, 4 H 3.20
Fe (0.5000, 0.5000, 0.5000)  8 Sr 3.20
H (0.0000, 0.0000, 0.0000)  8 Sr 3.20


No. 9
## DyHo12Co6 (PBE)

Data for an optimized crystal structure of DyHo12Co6.

SG = Im-3, No. 204
total moment = 0.000 μB per formula unit
calculated density = 9.04 g/cm³
DFT formation energy = -0.1449 eV per atom

Cell: 8.4135 8.4135 8.4135 Å, 109.47 109.47 109.47°
With the nearest neighbours (Å) after each atom.
Fractional positions:
Dy (0.0000, 0.0000, 0.0000)  12 Ho 3.54
Ho (0.3087, 0.1149, 0.8063)  3 Co 2.64-2.87
Ho (0.3087, 0.5024, 0.1937)  3 Co 2.64-2.87
Ho (0.6913, 0.4976, 0.8063)  3 Co 2.64-2.87
Ho (0.6913, 0.8851, 0.1937)  3 Co 2.64-2.87
Ho (0.1149, 0.8063, 0.3087)  3 Co 2.64-2.87
Ho (0.5024, 0.1937, 0.3087)  3 Co 2.64-2.87
Ho (0.4976, 0.8063, 0.6913)  3 Co 2.64-2.87
Ho (0.8851, 0.1937, 0.6913)  3 Co 2.64-2.87
Ho (0.8063, 0.3087, 0.1149)  3 Co 2.64-2.87
Ho (0.1937, 0.3087, 0.5024)  3 Co 2.64-2.87
Ho (0.8063, 0.6913, 0.4976)  3 Co 2.64-2.87
Ho (0.1937, 0.6913, 0.8851)  3 Co 2.64-2.87
Co (0.3862, 0.5000, 0.8862)  1 Co 2.21
Co (0.6138, 0.5000, 0.1138)  1 Co 2.21
Co (0.5000, 0.8862, 0.3862)  1 Co 2.21
Co (0.5000, 0.1138, 0.6138)  1 Co 2.21
Co (0.8862, 0.3862, 0.5000)  1 Co 2.21
Co (0.1138, 0.6138, 0.5000)  1 Co 2.21


No. 10
## ZrGa2F (PBE)

Data for an optimized crystal structure of ZrGa2F.

SG = Fm-3m, No. 225
uncorrected formation energy = -0.394 eV/atom
total moment = 0.000 μB per formula unit
offset from the most stable computed form = 302.6 meV per atom
calculated density = 5.79 g/cm³

Cell: 4.6604 4.6604 4.6604 Å, 60.00 60.00 60.00°
With the nearest neighbours (Å) after each atom.
Fractional positions:
Ga (0.2500, 0.2500, 0.2500)  4 Zr 2.85, 4 F 2.85
Ga (0.7500, 0.7500, 0.7500)  4 Zr 2.85, 4 F 2.85
Zr (0.5000, 0.5000, 0.5000)  8 Ga 2.85
F (0.0000, 0.0000, 0.0000)  8 Ga 2.85


No. 11
## Ac7Pr4Dy (PBE)

Data for an optimized crystal structure of Ac7Pr4Dy.

SG = P-1, No. 2
total moment = 0.000 μB per formula unit
calculated density = 7.83 g/cm³
DFT formation energy = 0.0342 eV per atom

Cell: 7.7361 10.2652 9.6825 Å, 81.03 89.67 41.02°
With the nearest neighbours (Å) after each atom.
Fractional positions:
Ac (0.7463, 0.5034, 0.0039)  3 Pr 3.79-3.87, 7 Ac 3.82-3.91, 2 Dy 3.85-3.91
Ac (0.2537, 0.4966, 0.9961)  3 Pr 3.79-3.87, 7 Ac 3.82-3.91, 2 Dy 3.85-3.91
Ac (0.9709, 0.2822, 0.6659)  6 Pr 3.84-3.89, 5 Ac 3.87-3.90, 1 Dy 3.87
Ac (0.0291, 0.7178, 0.3341)  6 Pr 3.84-3.89, 5 Ac 3.87-3.90, 1 Dy 3.87
Ac (0.2173, 0.7820, 0.6687)  6 Ac 3.82-3.90, 1 Dy 3.82, 5 Pr 3.84-3.92
Ac (0.5000, 0.0000, 0.0000)  4 Pr 3.82-3.86, 6 Ac 3.86-3.91, 2 Dy 3.87
Ac (0.7827, 0.2180, 0.3313)  6 Ac 3.82-3.90, 1 Dy 3.82, 5 Pr 3.84-3.92
Pr (0.5244, 0.7251, 0.3294)  8 Ac 3.79-3.92, 1 Dy 3.83, 3 Pr 3.87-3.91
Pr (0.4756, 0.2749, 0.6706)  8 Ac 3.79-3.92, 1 Dy 3.83, 3 Pr 3.87-3.91
Pr (0.7195, 0.7795, 0.6661)  8 Ac 3.84-3.88, 4 Pr 3.84-3.91
Pr (0.2805, 0.2205, 0.3339)  8 Ac 3.84-3.88, 4 Pr 3.84-3.91
Dy (0.0000, 0.0000, 0.0000)  10 Ac 3.82-3.91, 2 Pr 3.83


No. 12
## YCoW2 (PBE)

Data for an optimized crystal structure of YCoW2.

SG = Cm, No. 8
total moment = 0.000 μB per formula unit
offset from the most stable computed form = 191.7 meV per atom
calculated density = 11.56 g/cm³
DFT formation energy = 0.4708 eV per atom

Cell: 4.7964 4.7964 5.4223 Å, 72.54 72.54 38.77°
With the nearest neighbours (Å) after each atom.
Fractional positions:
Co (0.2715, 0.2715, 0.1771)  4 W 2.48-2.59
W (0.9901, 0.9901, 0.0071)  2 Co 2.48, 2 W 2.58
W (0.7246, 0.7246, 0.8324)  3 W 2.58-2.85, 2 Co 2.59
Y (0.5139, 0.5139, 0.4834)  3 Co 2.87-3.15, 7 W 3.08-3.20, 2 Y 3.18


No. 13
## Pm8Pr6Al (PBE)

Data for an optimized crystal structure of Pm8Pr6Al.

SG = P-3, No. 147
total moment = 0.000 μB per formula unit
calculated density = 6.51 g/cm³
DFT formation energy = 0.0715 eV per atom

Cell: 6.5311 9.5706 9.5706 Å, 120.00 90.00 90.00°
With the nearest neighbours (Å) after each atom.
Fractional positions:
Pm (0.8068, 0.0423, 0.2598)  1 Al 3.06, 2 Pm 3.42
Pm (0.8068, 0.7402, 0.7825)  1 Al 3.06, 2 Pm 3.42
Pm (0.8068, 0.2175, 0.9577)  1 Al 3.06, 2 Pm 3.42
Pm (0.1932, 0.9577, 0.7402)  1 Al 3.06, 2 Pm 3.42
Pm (0.1932, 0.2598, 0.2175)  1 Al 3.06, 2 Pm 3.42
Pm (0.1932, 0.7825, 0.0423)  1 Al 3.06, 2 Pm 3.42
Pm (0.8413, 0.3333, 0.6667)  3 Pm 3.48, 6 Pr 3.80-3.82
Pm (0.1587, 0.6667, 0.3333)  3 Pm 3.48, 6 Pr 3.80-3.82
Pr (0.6798, 0.6428, 0.0927)  1 Pr 3.36, 5 Pm 3.43-3.73
Pr (0.6798, 0.9073, 0.5501)  1 Pr 3.36, 5 Pm 3.43-3.73
Pr (0.6798, 0.4499, 0.3572)  1 Pr 3.36, 5 Pm 3.43-3.73
Pr (0.3202, 0.3572, 0.9073)  1 Pr 3.36, 5 Pm 3.43-3.73
Pr (0.3202, 0.0927, 0.4499)  1 Pr 3.36, 5 Pm 3.43-3.73
Pr (0.3202, 0.5501, 0.6428)  1 Pr 3.36, 5 Pm 3.43-3.73
Al (0.5000, 0.0000, 0.0000)  6 Pm 3.06


No. 14
## KMgSnAs (PBE)

Data for an optimized crystal structure of KMgSnAs.

SG = Cm, No. 8
total moment = 0.000 μB per formula unit
calculated density = 3.89 g/cm³
DFT formation energy = -0.3150 eV per atom

Cell: 3.8004 3.8004 7.5912 Å, 90.07 89.93 90.00°
With the nearest neighbours (Å) after each atom.
Fractional positions:
K (0.6452, 0.3548, 0.9895)  1 Mg 3.35, 4 As 3.60-3.62, 4 Sn 3.66-3.67
Mg (0.6473, 0.3527, 0.4309)  4 As 2.84-2.85
Sn (0.1454, 0.8546, 0.6617)  1 As 2.69
As (0.1470, 0.8530, 0.3067)  1 Sn 2.69, 4 Mg 2.84-2.85


No. 15
## CrCuPd14 (PBE)

Data for an optimized crystal structure of CrCuPd14.

SG = P4/mmm, No. 123
total moment = 1.253 μB per formula unit
calculated density = 10.99 g/cm³
DFT formation energy = -0.0309 eV per atom

Cell: 5.5684 5.5684 7.8211 Å, 90.00 90.00 90.00°
With the nearest neighbours (Å) after each atom.
Fractional positions:
Cr (0.8750, 0.8750, 0.5000)  12 Pd 2.73-2.78
Cu (0.3750, 0.3750, 0.5000)  12 Pd 2.74-2.78
Pd (0.8750, 0.8750, 0.0000)  12 Pd 2.78-2.81
Pd (0.3750, 0.3750, 0.0000)  12 Pd 2.78-2.82
Pd (0.8750, 0.3750, 0.5000)  8 Pd 2.74, 2 Cr 2.78, 2 Cu 2.78
Pd (0.8750, 0.3750, 0.0000)  12 Pd 2.78-2.81
Pd (0.3750, 0.8750, 0.5000)  8 Pd 2.74, 2 Cr 2.78, 2 Cu 2.78
Pd (0.3750, 0.8750, 0.0000)  12 Pd 2.78-2.81
Pd (0.6258, 0.1242, 0.2568)  1 Cr 2.73, 10 Pd 2.74-2.82, 1 Cu 2.74
Pd (0.6258, 0.1242, 0.7432)  1 Cr 2.73, 10 Pd 2.74-2.82, 1 Cu 2.74
Pd (0.1242, 0.6258, 0.2568)  1 Cr 2.73, 10 Pd 2.74-2.82, 1 Cu 2.74
Pd (0.1242, 0.6258, 0.7432)  1 Cr 2.73, 10 Pd 2.74-2.82, 1 Cu 2.74
Pd (0.6257, 0.6257, 0.2568)  1 Cr 2.73, 10 Pd 2.74-2.82, 1 Cu 2.74
Pd (0.6257, 0.6257, 0.7432)  1 Cr 2.73, 10 Pd 2.74-2.82, 1 Cu 2.74
Pd (0.1243, 0.1243, 0.2568)  1 Cr 2.73, 10 Pd 2.74-2.82, 1 Cu 2.74
Pd (0.1243, 0.1243, 0.7432)  1 Cr 2.73, 10 Pd 2.74-2.82, 1 Cu 2.74


No. 16
## Tb2Sm3Sc3 (PBE)

Data for an optimized crystal structure of Tb2Sm3Sc3.

SG = Immm, No. 71
total moment = 0.000 μB per formula unit
calculated density = 6.33 g/cm³
DFT formation energy = 0.0510 eV per atom

Cell: 4.8296 4.9606 10.4826 Å, 103.69 103.32 90.00°
With the nearest neighbours (Å) after each atom.
Fractional positions:
Tb (0.7482, 0.2482, 0.4963)  4 Sc 3.44-3.54, 4 Tb 3.46, 4 Sm 3.52-3.53
Tb (0.2518, 0.7518, 0.5037)  4 Sc 3.44-3.54, 4 Tb 3.46, 4 Sm 3.52-3.53
Sm (0.6216, 0.6216, 0.2432)  6 Sc 3.41-3.46, 2 Sm 3.46, 4 Tb 3.52-3.53
Sm (0.3784, 0.3784, 0.7568)  6 Sc 3.41-3.46, 2 Sm 3.46, 4 Tb 3.52-3.53
Sm (0.5000, 0.0000, 0.0000)  8 Sc 3.44-3.46, 4 Sm 3.46
Sc (0.1241, 0.1241, 0.2483)  4 Tb 3.44-3.54, 6 Sm 3.44-3.46, 2 Sc 3.49
Sc (0.0000, 0.5000, 0.0000)  8 Sm 3.41-3.46, 4 Sc 3.49
Sc (0.8759, 0.8759, 0.7517)  4 Tb 3.44-3.54, 6 Sm 3.44-3.46, 2 Sc 3.49


No. 17
## LiRuPb2 (PBE)

Data for an optimized crystal structure of LiRuPb2.

SG = P2/m, No. 10
total moment = 0.000 μB per formula unit
offset from the most stable computed form = 0.0 meV per atom
calculated density = 10.20 g/cm³
DFT formation energy = 0.1073 eV per atom

Cell: 3.3325 3.3578 8.0759 Å, 70.24 90.00 90.00°
With the nearest neighbours (Å) after each atom.
Fractional positions:
Li (0.5000, 0.7500, 0.7500)  8 Pb 3.02-3.31, 4 Li 3.33-3.36
Pb (0.0000, 0.9436, 0.0257)  4 Ru 2.89-2.94, 2 Li 3.02
Pb (0.0000, 0.5564, 0.4743)  4 Ru 2.89-2.94, 2 Li 3.02
Ru (0.5000, 0.2500, 0.2500)  8 Pb 2.89-2.94


No. 18
## Na6NpCl12 (PBE)

Data for an optimized crystal structure of Na6NpCl12.

SG = R-3, No. 148
uncorrected formation energy = -1.555 eV/atom
total moment = 0.669 μB per formula unit
calculated density = 2.41 g/cm³

Cell: 8.2630 8.2630 8.2630 Å, 97.01 97.01 97.01°
With the nearest neighbours (Å) after each atom.
Fractional positions:
Na (0.6057, 0.8320, 0.3873)  4 Cl 2.74-2.76
Na (0.6127, 0.3943, 0.1680)  4 Cl 2.74-2.76
Na (0.1680, 0.6127, 0.3943)  4 Cl 2.74-2.76
Na (0.3943, 0.1680, 0.6127)  4 Cl 2.74-2.76
Na (0.3873, 0.6057, 0.8320)  4 Cl 2.74-2.76
Na (0.8320, 0.3873, 0.6057)  4 Cl 2.74-2.76
Np (0.0000, 0.0000, 0.0000)  6 Cl 2.46
Cl (0.8339, 0.6156, 0.3916)  4 Na 2.74-2.76
Cl (0.3916, 0.8339, 0.6156)  4 Na 2.74-2.76
Cl (0.6156, 0.3916, 0.8339)  4 Na 2.74-2.76
Cl (0.1661, 0.3844, 0.6084)  4 Na 2.74-2.76
Cl (0.6084, 0.1661, 0.3844)  4 Na 2.74-2.76
Cl (0.3844, 0.6084, 0.1661)  4 Na 2.74-2.76
Cl (0.0877, 0.9703, 0.2896)  1 Np 2.46
Cl (0.0297, 0.7104, 0.9123)  1 Np 2.46
Cl (0.7104, 0.9123, 0.0297)  1 Np 2.46
Cl (0.9123, 0.0297, 0.7104)  1 Np 2.46
Cl (0.9703, 0.2896, 0.0877)  1 Np 2.46
Cl (0.2896, 0.0877, 0.9703)  1 Np 2.46


No. 19
## Sr4BiIr (PBE)

Data for an optimized crystal structure of Sr4BiIr.

SG = C2/c, No. 15
total moment = 0.000 μB per formula unit
calculated density = 5.64 g/cm³
DFT formation energy = -0.4542 eV per atom

Cell: 6.7961 8.9112 8.9112 Å, 112.19 104.96 104.96°
With the nearest neighbours (Å) after each atom.
Fractional positions:
Sr (0.8153, 0.6588, 0.7841)  2 Ir 3.11-3.14
Sr (0.0744, 0.9467, 0.2789)  2 Ir 3.14-3.16, 1 Bi 3.49
Sr (0.6847, 0.2159, 0.3412)  2 Ir 3.11-3.14
Sr (0.4256, 0.7211, 0.0533)  2 Ir 3.14-3.16, 1 Bi 3.49
Sr (0.5744, 0.2789, 0.9467)  2 Ir 3.14-3.16, 1 Bi 3.49
Sr (0.3153, 0.7841, 0.6588)  2 Ir 3.11-3.14
Sr (0.9256, 0.0533, 0.7211)  2 Ir 3.14-3.16, 1 Bi 3.49
Sr (0.1847, 0.3412, 0.2159)  2 Ir 3.11-3.14
Bi (0.7500, 0.6347, 0.3653)  8 Sr 3.49-3.59
Bi (0.2500, 0.3653, 0.6347)  8 Sr 3.49-3.59
Ir (0.2500, 0.0002, 0.9998)  8 Sr 3.11-3.16, 2 Ir 3.40
Ir (0.7500, 0.9998, 0.0002)  8 Sr 3.11-3.16, 2 Ir 3.40


No. 20
## SrTlAgHg (PBE)

Data for an optimized crystal structure of SrTlAgHg.

SG = F-43m, No. 216
total moment = 0.000 μB per formula unit
calculated density = 9.19 g/cm³
DFT formation energy = -0.2748 eV per atom

Cell: 5.3541 5.3541 5.3541 Å, 60.00 60.00 60.00°
With the nearest neighbours (Å) after each atom.
Fractional positions:
Sr (0.0000, 0.0000, 0.0000)  4 Hg 3.28, 4 Ag 3.28
Tl (0.5000, 0.5000, 0.5000)  4 Hg 3.28, 4 Ag 3.28
Hg (0.7500, 0.7500, 0.7500)  4 Tl 3.28, 4 Sr 3.28
Ag (0.2500, 0.2500, 0.2500)  4 Tl 3.28, 4 Sr 3.28